1.
A relaxed NaSiSeBr2 crystal, computed with GGA-PBEsol.

It has space group P4/mmm (No. 123), with a = 5.068 Å, b = 5.068 Å, c = 5.266 Å, α = 90.00°, β = 90.00° and γ = 90.00°. The distinct sites, in fractional coordinates, are Na at (0.000, 0.000, 0.000), Si at (0.500, 0.500, 0.500), Se at (0.000, 0.000, 0.500) and Br at (0.000, 0.500, 0.000).

The total moment is 0.174 μB per atom. The calculation puts the uncorrected formation energy at 0.369 eV/atom.

***

2.
A relaxed YAlIn2 crystal, computed with GGA-PBEsol.

It has space group P4/mmm (No. 123), with a = 3.664 Å, b = 3.664 Å, c = 6.850 Å, α = 90.00°, β = 90.00° and γ = 90.00°. The distinct sites, in fractional coordinates, are Y at (0.000, 0.000, 0.000), Al at (0.000, 0.000, 0.500) and In at (0.500, 0.500, 0.281).

The total moment is 0.046 μB per atom. The formation energy from the elements is -0.99 eV per formula unit.

***

3.
A relaxed K2SiAs2 crystal, computed with GGA-PBEsol.

It has space group Ibam (No. 72), with a = 6.927 Å, b = 13.216 Å, c = 6.336 Å, α = 90.00°, β = 90.00° and γ = 90.00°. The distinct sites, in fractional coordinates, are K at (0.165, 0.143, 0.000), Si at (0.000, 0.500, 0.250) and As at (0.168, 0.398, 0.000).

The total moment is 0.000 μB per atom. The calculation puts the uncorrected formation energy at -0.448 eV/atom.